# SiAg2Br PBEsol optimized geometry
data_SiAg2Br
_space_group_name_H-M_alt 'C m m m'
_space_group_IT_number 65
_space_group_name_Hall '-C 2 2'
_cell_length_a 5.693
_cell_length_b 8.038
_cell_length_c 3.277
_cell_angle_alpha 90.00
_cell_angle_beta 90.00
_cell_angle_gamma 90.00
loop_
_atom_site_label
_atom_site_type_symbol
_atom_site_fract_x
_atom_site_fract_y
_atom_site_fract_z
_atom_site_occupancy
Si1 Si 0.000 0.000 0.000 1
Ag1 Ag 0.250 0.250 0.500 1
Br1 Br 0.000 0.500 0.000 1
# E: -25.61 eV per cell
# N(E_F): 2.6 states/eV/cell
# ΔE_f (raw): 0.3580 eV per atom
# E above lowest polymorph: 179 meV/atom